Here is TbSm4Tl5 after structural relaxation from Alexandria. Energies are from PBE.

Properties
- spin magnetization (μB/f.u.) = 0.0
- space-group type = P4/mmm
- ρ (Mg/m³) = 10.4
- ΔE_f (meV/atom) = -375
- raw total energy (eV/cell) = -39.08

Structure (POSCAR):
```
TbSm4Tl5
1.0
3.822 0.000 0.000
0.000 3.822 0.000
0.000 0.000 19.559
Tb Sm Tl
1 4 5
Direct
0.000 0.000 0.000
0.000 0.000 0.198
0.000 0.000 0.399
0.000 0.000 0.601
0.000 0.000 0.802
0.500 0.500 0.096
0.500 0.500 0.298
0.500 0.500 0.500
0.500 0.500 0.702
0.500 0.500 0.904
```